## A
Compound: SrTmMg
Source: Alexandria via LeMat-Bulk
Functional: GGA-PBE
Structure: relaxed

```
6
Lattice="3.8116 0.0000 0.0000 0.0000 3.8116 0.0000 -1.9058 -1.9058 14.5882" Properties=species:S:1:pos:R:3 pbc="T T T"
Mg 1.9058 1.9058 10.2075
Tm 1.9058 1.9058 6.2245
Tm 0.0000 0.0000 8.3637
Sr 0.0000 0.0000 12.5748
Sr 1.9058 1.9058 2.0134
Mg 0.0000 0.0000 4.3807
```

magnetic moment = 0.000 μB/atom
SG = No. 139

***

## B
Compound: SrTmMg
Source: Alexandria via LeMat-Bulk
Functional: GGA-PBE
Structure: relaxed

```
3
Lattice="3.8390 0.0000 0.0000 0.0000 3.8390 0.0000 -1.9195 -1.9195 6.9496" Properties=species:S:1:pos:R:3 pbc="T T T"
Sr 0.0000 0.0000 0.1552
Mg 1.9195 1.9195 2.5157
Tm 0.0000 0.0000 4.2787
```

magnetic moment = 0.095 μB/atom
SG = No. 107

***

## C
Compound: SrTmMg
Source: Alexandria via LeMat-Bulk
Functional: GGA-PBE
Structure: relaxed

```
3
Lattice="3.4982 0.0000 0.0000 0.0000 5.7499 0.0000 0.0000 -2.8749 4.9795" Properties=species:S:1:pos:R:3 pbc="T T T"
Tm 0.0879 0.0000 0.0000
Sr 2.2671 2.8749 1.6598
Mg 1.1433 0.0000 3.3197
```

magnetic moment = 0.000 μB/atom
SG = No. 156

***

The most stable arrangement is A, and the next structure is 3.0 kJ/mol of atoms less stable.

***

## A
Compound: SrTm2Mg
Source: Alexandria via LeMat-Bulk
Functional: GGA-PBE
Structure: relaxed

```
4
Lattice="-1.7381 -3.0241 -0.6578 0.9982 -2.0681 -2.7066 7.4323 -7.7295 6.3196" Properties=species:S:1:pos:R:3 pbc="T T T"
Tm 1.4772 -6.8338 -1.2159
Tm 5.2151 -5.9878 4.1712
Sr 0.0000 0.0000 0.0000
Mg 3.3462 -6.4108 1.4777
```

magnetic moment = 0.000 μB/atom
SG = No. 166

***

## B
Compound: SrTm2Mg
Source: Alexandria via LeMat-Bulk
Functional: GGA-PBE
Structure: relaxed

```
4
Lattice="-1.3854 -0.0908 -3.5048 3.4973 -0.3005 -1.3747 -0.6088 -9.2887 0.4813" Properties=species:S:1:pos:R:3 pbc="T T T"
Mg 1.0559 -0.1956 -2.4397
Tm -0.1166 -1.7786 0.0922
Tm -0.4923 -7.5101 0.3891
Sr 0.7515 -4.8400 -2.1991
```

magnetic moment = 0.000 μB/atom
SG = No. 123

***

The most stable arrangement is B, and the next structure is 18.6 kJ/mol of atoms less stable.

***

## A
Compound: SrMgV3
Source: Alexandria via LeMat-Bulk
Functional: GGA-PBE
Structure: relaxed

```
5
Lattice="-5.1223 -0.5243 -0.0240 0.3859 -3.6028 -3.6585 0.3557 -3.6412 3.6233" Properties=species:S:1:pos:R:3 pbc="T T T"
V 0.1779 -1.8206 1.8117
V 0.1930 -1.8014 -1.8293
V -2.5612 -0.2622 -0.0120
Sr -2.1903 -3.8842 -0.0296
Mg 0.0000 0.0000 0.0000
```

magnetic moment = 2.299 μB/atom
SG = No. 221

***

## B
Compound: SrMgV3
Source: Alexandria via LeMat-Bulk
Functional: GGA-PBE
Structure: relaxed

```
5
Lattice="4.6384 0.0000 0.0000 0.0000 4.6384 0.0000 0.0000 0.0000 4.6384" Properties=species:S:1:pos:R:3 pbc="T T T"
Sr 0.0000 0.0000 0.0000
V 2.3192 0.0000 0.0000
V 0.0000 0.0000 2.3192
V 0.0000 2.3192 0.0000
Mg 2.3192 2.3192 2.3192
```

magnetic moment = 0.000 μB/atom
SG = No. 221

***

The most stable arrangement is A, and the next structure is 78.0 kJ/mol of atoms less stable.

***

## A
Compound: SrMg2V2
Source: Alexandria via LeMat-Bulk
Functional: GGA-PBE
Structure: relaxed

```
10
Lattice="8.3305 0.0000 0.0000 0.0000 8.3305 0.0000 0.0000 0.0000 3.2222" Properties=species:S:1:pos:R:3 pbc="T T T"
V 0.6763 3.4890 0.0000
Sr 0.0000 0.0000 0.0000
Sr 4.1653 4.1653 0.0000
Mg 5.8293 6.6665 1.6111
V 7.6543 4.8416 0.0000
Mg 6.6665 2.5013 1.6111
Mg 2.5013 1.6640 1.6111
V 3.4890 7.6543 0.0000
Mg 1.6640 5.8293 1.6111
V 4.8416 0.6763 0.0000
```

magnetic moment = 0.000 μB/atom
SG = No. 127

***

## B
Compound: SrMg2V2
Source: Alexandria via LeMat-Bulk
Functional: GGA-PBE
Structure: relaxed

```
5
Lattice="-2.9347 -3.5191 -0.6952 3.5199 -2.6521 -1.4339 1.1622 -4.8928 4.4128" Properties=species:S:1:pos:R:3 pbc="T T T"
V 1.3182 -7.6945 2.4876
Sr 0.0000 0.0000 0.0000
Mg -0.7399 -5.7488 1.3266
Mg 2.4874 -5.3153 0.9572
V 0.4292 -3.3696 -0.2039
```

magnetic moment = 0.000 μB/atom
SG = No. 139

***

The most stable arrangement is A, and the next structure is 16.1 kJ/mol of atoms less stable.